Entry a
Material: YAgAsO
Method: DFT, GGA-PBE
State: relaxed

Its volume is 147 Å³ per cell.

Unit cell a=3.9741 b=3.9741 c=9.2771 alpha=90.00 beta=90.00 gamma=90.00
Space group P4/nmm (No. 129, origin choice 2)
Unique sites:
Y (0.2500, 0.2500, 0.1163) (multiplicity 2)
Ag (0.2500, 0.7500, 0.5000) (multiplicity 2)
As (0.2500, 0.2500, 0.6970) (multiplicity 2)
O (0.2500, 0.7500, 0.0000) (multiplicity 2)

***

Entry b
Material: YAgAsO
Method: DFT, GGA-PBE
State: relaxed

Its volume is 155 Å³ per cell.

Unit cell a=4.3318 b=6.2494 c=5.7281 alpha=90.00 beta=90.00 gamma=90.00
Space group Pmc2_1 (No. 26)
Unique sites:
Y (0.0000, 0.2501, 0.0000) (multiplicity 2)
Ag (0.5000, 0.1380, 0.4251) (multiplicity 2)
As (0.5000, 0.4681, 0.7287) (multiplicity 2)
O (0.0000, 0.0420, 0.3042) (multiplicity 2)

***

Least stable: entry b

***

Entry a
Material: Cu7Ag3
Method: DFT, GGA-PBE
State: relaxed

Its volume is 138 Å³ per cell.

Unit cell a=6.6069 b=2.7332 c=7.8527 alpha=90.00 beta=103.96 gamma=90.00
Space group Pm (No. 6)
Unique sites:
Cu (0.0000, 0.0000, 0.0000) (multiplicity 1)
Cu (0.0889, 0.5000, 0.2880) (multiplicity 1)
Cu (0.2813, 0.5000, 0.9113) (multiplicity 1)
Cu (0.3716, 0.0000, 0.1996) (multiplicity 1)
Cu (0.4671, 0.5000, 0.4907) (multiplicity 1)
Cu (0.5732, 0.0000, 0.7772) (multiplicity 1)
Cu (0.8722, 0.5000, 0.7227) (multiplicity 1)
Ag (0.1770, 0.0000, 0.6073) (multiplicity 1)
Ag (0.6808, 0.5000, 0.0790) (multiplicity 1)
Ag (0.7752, 0.0000, 0.4068) (multiplicity 1)

***

Entry b
Material: Cu7Ag3
Method: DFT, GGA-PBE
State: relaxed

Its volume is 275 Å³ per cell.

Unit cell a=8.5365 b=3.7873 c=8.4926 alpha=90.00 beta=90.72 gamma=90.00
Space group Cm (No. 8)
Unique sites:
Cu (0.0000, 0.0000, 0.0000) (multiplicity 2)
Cu (0.0012, 0.5000, 0.5195) (multiplicity 2)
Cu (0.1004, 0.0000, 0.7209) (multiplicity 2)
Cu (0.1954, 0.5000, 0.9074) (multiplicity 2)
Cu (0.1999, 0.0000, 0.4230) (multiplicity 2)
Cu (0.4047, 0.5000, 0.3237) (multiplicity 2)
Cu (0.4089, 0.0000, 0.8138) (multiplicity 2)
Ag (0.1011, 0.5000, 0.2228) (multiplicity 2)
Ag (0.3020, 0.0000, 0.1062) (multiplicity 2)
Ag (0.3015, 0.5000, 0.6174) (multiplicity 2)

***

Entry c
Material: Cu7Ag3
Method: DFT, GGA-PBE
State: relaxed

Its volume is 276 Å³ per cell.

Unit cell a=21.7277 b=2.7281 c=4.6761 alpha=90.00 beta=94.34 gamma=90.00
Space group Cm (No. 8)
Unique sites:
Cu (0.0000, 0.0000, 0.0000) (multiplicity 2)
Cu (0.0000, 0.5000, 0.4978) (multiplicity 2)
Cu (0.2182, 0.0000, 0.4048) (multiplicity 2)
Cu (0.3149, 0.5000, 0.5952) (multiplicity 2)
Cu (0.3172, 0.0000, 0.1117) (multiplicity 2)
Cu (0.4074, 0.0000, 0.8002) (multiplicity 2)
Cu (0.4088, 0.5000, 0.3029) (multiplicity 2)
Ag (0.1032, 0.0000, 0.7000) (multiplicity 2)
Ag (0.1071, 0.5000, 0.2043) (multiplicity 2)
Ag (0.2168, 0.5000, 0.9035) (multiplicity 2)

***

Least stable: entry c

***

Entry a
Material: AcHf
Method: DFT, GGA-PBE
State: relaxed

Its volume is 62 Å³ per cell.

Unit cell a=3.5215 b=3.5215 c=5.7310 alpha=90.00 beta=90.00 gamma=120.00
Space group P-6m2 (No. 187)
Unique sites:
Ac (0.0000, 0.0000, 0.0000) (multiplicity 1)
Hf (0.6667, 0.3333, 0.5000) (multiplicity 1)

***

Entry b
Material: AcHf
Method: DFT, GGA-PBE
State: relaxed

Its volume is 344 Å³ per cell.

Unit cell a=7.0096 b=7.0096 c=7.0096 alpha=90.00 beta=90.00 gamma=90.00
Space group F-43m (No. 216)
Unique sites:
Ac (0.0000, 0.0000, 0.0000) (multiplicity 4)
Hf (0.2500, 0.2500, 0.7500) (multiplicity 4)

***

Least stable: entry b

***

Entry a
Material: Ho2Nb
Method: DFT, GGA-PBE
State: relaxed

Its volume is 613 Å³ per cell.

Unit cell a=8.4949 b=8.4949 c=8.4949 alpha=90.00 beta=90.00 gamma=90.00
Space group Fd-3m (No. 227, origin choice 2)
Unique sites:
Ho (0.0000, 0.0000, 0.0000) (multiplicity 16)
Nb (0.1250, 0.1250, 0.6250) (multiplicity 8)

***

Entry b
Material: Ho2Nb
Method: DFT, GGA-PBE
State: relaxed

Its volume is 1670 Å³ per cell.

Unit cell a=11.8647 b=11.8647 c=11.8647 alpha=90.00 beta=90.00 gamma=90.00
Space group Fd-3m (No. 227, origin choice 2)
Unique sites:
Ho (0.0000, 0.0000, 0.0000) (multiplicity 16)
Nb (0.1250, 0.1250, 0.1250) (multiplicity 8)

***

Least stable: entry b